(1)
# DyLu2O

Crystalline DyLu2O at its relaxed geometry (PBE-GGA, Alexandria via LeMat-Bulk). Values from VASP.

The value obtained for the calculated volume is 84.18 Å³/cell. The symmetry is P4/mmm (123). For the total magnetization, the calculation gives 0.000 Bohr magnetons per cell. As for the relative energy among the computed polymorphs: 371 meV per atom. The calculation puts the uncorrected formation energy at -0.813 eV per atom.

Cell and atoms, written as Quantum ESPRESSO input:
```
&SYSTEM
  ibrav = 0, nat = 4, ntyp = 3
/
ATOMIC_SPECIES
Dy 162.50 Dy.upf
Lu 174.97 Lu.upf
O 16.00 O.upf
CELL_PARAMETERS angstrom
-0.662 -2.837 1.200
1.907 -1.341 -2.119
6.512 0.758 5.381
ATOMIC_POSITIONS angstrom
Dy 3.879 -1.710 2.231
Lu 1.180 0.137 0.975
Lu 5.333 0.620 4.406
O 0.623 -2.089 -0.459
```

(2)
# DyLu2O

Crystalline DyLu2O at its relaxed geometry (PBE-GGA, Alexandria via LeMat-Bulk). Values from VASP.

The value obtained for the calculated volume is 90.34 Å³/cell. The symmetry is R-3m (166). For the total magnetization, the calculation gives 0.002 Bohr magnetons per cell. As for the relative energy among the computed polymorphs: 0 meV per atom. The calculation puts the uncorrected formation energy at -1.184 eV per atom.

Cell and atoms, written as Quantum ESPRESSO input:
```
&SYSTEM
  ibrav = 0, nat = 4, ntyp = 3
/
ATOMIC_SPECIES
O 16.00 O.upf
Dy 162.50 Dy.upf
Lu 174.97 Lu.upf
CELL_PARAMETERS angstrom
3.375 0.000 0.000
1.688 2.923 0.000
1.688 0.974 9.156
ATOMIC_POSITIONS angstrom
O 3.375 1.949 4.578
Dy 0.000 0.000 0.000
Lu 5.063 2.923 3.279
Lu 1.688 0.974 5.878
```